Below is an optimized crystal structure of Pa2VReN6, with properties calculated at the GGA-PBE level.

Unit cell a=4.0216 b=5.5975 c=5.5975 alpha=90.00 beta=90.00 gamma=90.00
Positions (direct):
N1 0.1755 0.5000 0.5000
Pa1 0.9925 0.0000 0.5000
N2 0.1731 0.0000 0.0000
Re1 0.6665 0.0000 0.0000
V1 0.5969 0.5000 0.5000
N3 0.7124 0.2583 0.7417
N4 0.7124 0.2583 0.2583
Pa2 0.9925 0.5000 0.0000
N5 0.7124 0.7417 0.2583
N6 0.7124 0.7417 0.7417

Properties
- DFT total energy (eV/atom) = -9.921
- V (A^3/atom) = 12.60
- crystal system = tetragonal
- magnetic moment (Bohr magnetons per cell) = 0.00
- formation energy (no corrections) (meV/atom) = -870

Below is an optimized crystal structure of Pa2ReWN6, with properties calculated at the GGA-PBE level.

Unit cell a=5.3855 b=5.8295 c=7.7143 alpha=90.00 beta=89.40 gamma=90.00
Positions (direct):
N1 0.8172 0.2005 0.4429
N2 0.3759 0.0440 0.2492
Pa1 0.0182 0.0816 0.7486
N3 0.3172 0.2995 0.9429
W1 0.0000 0.5000 0.5000
N4 0.3124 0.3032 0.5560
N5 0.6876 0.6968 0.4440
N6 0.1241 0.5440 0.2508
N7 0.8124 0.1968 0.0560
Re1 0.5000 0.0000 0.5000
W2 0.5000 0.0000 0.0000
Pa2 0.4818 0.5816 0.7514
Re2 0.0000 0.5000 0.0000
N8 0.6828 0.7005 0.0571
Pa3 0.9818 0.9184 0.2514
N9 0.6241 0.9560 0.7508
N10 0.8759 0.4560 0.7492
Pa4 0.5182 0.4184 0.2486
N11 0.1876 0.8032 0.9440
N12 0.1828 0.7995 0.5571

Properties
- DFT total energy (eV/atom) = -10.413
- V (A^3/atom) = 12.11
- crystal system = monoclinic
- magnetic moment (Bohr magnetons per cell) = 0.00
- formation energy (no corrections) (meV/atom) = -979

Below is an optimized crystal structure of Pa6RhN12, with properties calculated at the GGA-PBE level.

Unit cell a=6.5371 b=6.5371 c=6.5371 alpha=98.70 beta=98.70 gamma=98.70
Last column: magnetic moment on the atom in μB.
Positions (direct):
N1 0.1758 0.5920 0.4379  0.01
N2 0.5621 0.8242 0.4080  0.01
N3 0.5920 0.4379 0.1758  0.01
N4 0.0639 0.3108 0.9406  0.08
Pa1 0.6002 0.1357 0.2911  0.04
Pa2 0.2911 0.6002 0.1357  0.04
Pa3 0.7089 0.3998 0.8643  0.04
N5 0.6892 0.0594 0.9361  0.08
N6 0.4080 0.5621 0.8242  0.01
N7 0.4379 0.1758 0.5920  0.01
N8 0.3108 0.9406 0.0639  0.08
N9 0.9361 0.6892 0.0594  0.08
N10 0.8242 0.4080 0.5621  0.01
Pa4 0.1357 0.2911 0.6002  0.04
Rh1 0.0000 0.0000 0.0000  0.69
Pa5 0.3998 0.8643 0.7089  0.04
Pa6 0.8643 0.7089 0.3998  0.04
N11 0.0594 0.9361 0.6892  0.08
N12 0.9406 0.0639 0.3108  0.08

Properties
- DFT total energy (eV/atom) = -9.878
- V (A^3/atom) = 14.14
- crystal system = trigonal
- magnetic moment (Bohr magnetons per cell) = 1.68
- formation energy (no corrections) (meV/atom) = -1235

Please write out number 2 again, unchanged.
Below is an optimized crystal structure of Pa2ReWN6, with properties calculated at the GGA-PBE level.

Unit cell a=5.3855 b=5.8295 c=7.7143 alpha=90.00 beta=89.40 gamma=90.00
Positions (direct):
N1 0.8172 0.2005 0.4429
N2 0.3759 0.0440 0.2492
Pa1 0.0182 0.0816 0.7486
N3 0.3172 0.2995 0.9429
W1 0.0000 0.5000 0.5000
N4 0.3124 0.3032 0.5560
N5 0.6876 0.6968 0.4440
N6 0.1241 0.5440 0.2508
N7 0.8124 0.1968 0.0560
Re1 0.5000 0.0000 0.5000
W2 0.5000 0.0000 0.0000
Pa2 0.4818 0.5816 0.7514
Re2 0.0000 0.5000 0.0000
N8 0.6828 0.7005 0.0571
Pa3 0.9818 0.9184 0.2514
N9 0.6241 0.9560 0.7508
N10 0.8759 0.4560 0.7492
Pa4 0.5182 0.4184 0.2486
N11 0.1876 0.8032 0.9440
N12 0.1828 0.7995 0.5571

Properties
- DFT total energy (eV/atom) = -10.413
- V (A^3/atom) = 12.11
- crystal system = monoclinic
- magnetic moment (Bohr magnetons per cell) = 0.00
- formation energy (no corrections) (meV/atom) = -979